1.
A relaxed structure of CeCo2Si4, computed with PBE-GGA.

a = 4.003 Å, b = 6.199 Å, c = 16.203 Å
α = 90.00°, β = 90.00°, γ = 90.00°
Element x y z (fractional)
Ce (0.750, 0.005, 0.638)
Ce (0.250, 0.995, 0.362)
Ce (0.250, 0.505, 0.862)
Ce (0.750, 0.495, 0.138)
Co (0.250, 0.746, 0.533)
Co (0.750, 0.254, 0.467)
Co (0.750, 0.246, 0.967)
Co (0.250, 0.754, 0.033)
Co (0.250, 0.984, 0.788)
Co (0.750, 0.016, 0.212)
Co (0.750, 0.484, 0.712)
Co (0.250, 0.516, 0.288)
Si (0.250, 0.286, 0.699)
Si (0.750, 0.714, 0.301)
Si (0.750, 0.786, 0.801)
Si (0.250, 0.214, 0.199)
Si (0.250, 0.683, 0.682)
Si (0.750, 0.317, 0.318)
Si (0.750, 0.183, 0.818)
Si (0.250, 0.817, 0.182)
Si (0.250, 0.153, 0.529)
Si (0.750, 0.847, 0.471)
Si (0.750, 0.653, 0.971)
Si (0.250, 0.347, 0.029)
Si (0.250, 0.478, 0.432)
Si (0.750, 0.522, 0.568)
Si (0.750, 0.978, 0.068)
Si (0.250, 0.022, 0.932)

The calculation puts the raw formation energy at -0.583 eV/atom. The calculation puts the size of the total moment at 0.00 μB per cell.

2.
A relaxed structure of Ce4Co4Si, computed with PBE-GGA.

a = 4.912 Å, b = 8.334 Å, c = 8.334 Å
α = 90.00°, β = 90.00°, γ = 90.00°
Element x y z (fractional)
Ce (0.099, 0.528, 0.176)
Ce (0.099, 0.972, 0.324)
Ce (0.599, 0.824, 0.028)
Ce (0.599, 0.676, 0.472)
Ce (0.901, 0.472, 0.824)
Ce (0.901, 0.028, 0.676)
Ce (0.401, 0.176, 0.972)
Ce (0.401, 0.324, 0.528)
Co (0.061, 0.649, 0.511)
Co (0.061, 0.851, 0.989)
Co (0.561, 0.489, 0.149)
Co (0.561, 0.011, 0.351)
Co (0.939, 0.351, 0.489)
Co (0.939, 0.149, 0.011)
Co (0.439, 0.511, 0.851)
Co (0.439, 0.989, 0.649)
Si (0.750, 0.250, 0.250)
Si (0.250, 0.750, 0.750)

The calculation puts the raw formation energy at -0.337 eV/atom. The calculation puts the size of the total moment at 0.00 μB per cell. The value obtained for the energy above the lowest structure with this stoichiometry is 0 meV/atom.

> Which value of raw formation energy does entry 2 give?

-0.337 eV/atom